[1]
6
Lattice="0.0000 3.7127 3.7127 3.7127 0.0000 3.7127 3.7127 3.7127 0.0000" Properties=species:S:1:pos:R:3 comment="YSiOs4, optimized geometry, DFT PBE-GGA" sg=F-43m vol_a3_per_cell=102.4 raw_formation_energy_kj_per_mol_atoms=30 pbc="T T T"
Y 0.0000 0.0000 0.0000
Si 1.8564 1.8564 1.8564
Os 2.7894 2.7894 4.6361
Os 2.7894 4.6361 2.7894
Os 4.6361 4.6361 4.6361
Os 4.6361 2.7894 2.7894


[2]
10
Lattice="8.3560 0.0000 0.0000 0.0000 8.3560 0.0000 0.0000 0.0000 5.2656" Properties=species:S:1:pos:R:3 comment="Ba2Pb2S, optimized geometry, DFT PBE-GGA" polymorph_energy_ev_per_atom=0.148 sg=P4/mbm vol_a3_per_cell=367.7 raw_formation_energy_kj_per_mol_atoms=-50 pbc="T T T"
Pb 3.0343 7.2123 0.0000
Pb 7.2123 5.3216 0.0000
Pb 5.3216 1.1437 0.0000
Pb 1.1437 3.0343 0.0000
S 0.0000 0.0000 0.0000
S 4.1780 4.1780 0.0000
Ba 1.4166 5.5946 2.6328
Ba 5.5946 6.9394 2.6328
Ba 6.9394 2.7614 2.6328
Ba 2.7614 1.4166 2.6328


[3]
4
Lattice="4.8004 0.0000 0.0000 0.0000 2.9913 0.0045 0.0000 0.6560 5.6371" Properties=species:S:1:pos:R:3 comment="CaTlOs2, optimized geometry, DFT PBE-GGA" polymorph_energy_ev_per_atom=0.398 sg=P2/m vol_a3_per_cell=80.9 pbc="T T T"
Tl 2.4002 0.9118 1.4104
Os 0.0000 1.1848 5.3876
Os 0.0000 1.2949 3.0704
Ca 2.4002 2.7355 4.2312


[4]
6
Lattice="3.7117 -5.1195 -2.0298 2.7414 -4.0878 4.4587 -2.2673 -6.2084 0.6481" Properties=species:S:1:pos:R:3 comment="Sr4HgRu, optimized geometry, DFT PBE-GGA" energy_ry_per_atom=-0.1307 sg=F-43m vol_a3_per_cell=207.1 pbc="T T T"
Sr 3.4355 -8.3454 0.1285
Sr 0.4236 -8.8939 1.4775
Sr 2.9467 -7.8257 3.3970
Sr 1.5658 -5.7665 1.1510
Hg 3.1394 -11.5618 2.3077
Ru 0.0000 0.0000 0.0000


[5]
4
Lattice="4.4173 0.0132 -0.0083 3.3171 2.9172 -0.0083 1.0164 0.3851 5.5327" Properties=species:S:1:pos:R:3 comment="ZrAl2Pt, optimized geometry, DFT PBE-GGA" energy_ry_per_atom=-0.4495 sg=C2/m vol_a3_per_cell=71.1 pbc="T T T"
Zr 2.1877 0.8289 1.3790
Pt 6.5632 2.4866 4.1371
Al 1.0574 0.4006 5.2425
Al 4.3345 1.6422 3.0482


[6]
11
Lattice="-2.4627 5.7733 -1.1201 -3.1912 -4.0533 4.2708 6.2548 3.0716 2.0797" Properties=species:S:1:pos:R:3 comment="Cs2SrCu2F6, optimized geometry, DFT PBE-GGA" sg=C2/m vol_a3_per_cell=228.2 raw_formation_energy_kj_per_mol_atoms=-231 pbc="T T T"
Cs -1.9874 2.9576 1.4680
Cs 2.5883 1.8340 3.7624
Sr 1.8960 4.4224 0.4798
Cu -0.1753 4.2844 4.3225
Cu 0.7761 0.5072 0.9079
F 0.7643 4.3570 2.6309
F -2.0024 -1.8575 4.1304
F 3.8656 3.6897 1.6742
F 2.6033 6.6491 1.1001
F -3.2648 1.1019 3.5562
F -0.1634 0.4346 2.5995